Entry 1:
Pr2Zn5Cu5 PBE relaxed; spin magnetization = 0.0021 μB per atom; density = 7.704 g/cm3; energy of formation = -27 kJ per mole of atoms; space group = Pmmm (47)
1.0
4.200 0.000 0.000
0.000 5.264 0.000
0.000 0.000 9.033
Cu Zn Pr
5 5 2
Direct
0.000 0.000 0.334
0.000 0.500 0.838
0.000 0.500 0.162
0.000 0.000 0.666
0.500 0.500 0.000
0.500 0.251 0.754
0.500 0.749 0.246
0.500 0.000 0.500
0.500 0.251 0.246
0.500 0.749 0.754
0.000 0.000 0.000
0.000 0.500 0.500


Entry 2:
CuPt2 PBE relaxed; spin magnetization = 0.3328 μB per atom; density = 4.974 g/cm3; energy of formation = 223 kJ per mole of atoms; space group = Fd-3m (227)
1.0
3.769 2.176 6.155
-3.769 2.176 6.155
0.000 -4.352 6.155
Cu Pt
2 4
Direct
0.500 0.500 0.500
0.250 0.250 0.250
0.375 0.875 0.375
0.375 0.375 0.375
0.375 0.375 0.875
0.875 0.375 0.375


Entry 3:
CuPt2 PBE relaxed; spin magnetization = 0.0003 μB per atom; density = 15.502 g/cm3; energy of formation = 24 kJ per mole of atoms; space group = Fm-3m (225)
1.0
-2.255 -1.752 2.937
-3.987 -0.702 -0.623
-1.355 -3.837 -0.472
Pt Cu
2 1
Direct
0.750 0.750 0.750
0.250 0.250 0.250
0.000 0.000 0.000


Entry 4:
Cu7Pt2 PBE relaxed; spin magnetization = 0.0002 μB per atom; density = 12.115 g/cm3; energy of formation = -3 kJ per mole of atoms; space group = Cmcm (63)
1.0
4.125 -2.319 0.000
4.125 2.319 0.000
0.000 0.000 11.962
Pt Cu
4 14
Direct
0.205 0.795 0.628
0.795 0.205 0.372
0.205 0.795 0.872
0.795 0.205 0.128
0.796 0.707 0.250
0.204 0.293 0.750
0.553 0.140 0.571
0.447 0.860 0.429
0.860 0.447 0.571
0.700 0.300 0.750
0.553 0.140 0.929
0.140 0.553 0.071
0.293 0.204 0.250
0.707 0.796 0.750
0.447 0.860 0.071
0.140 0.553 0.429
0.860 0.447 0.929
0.300 0.700 0.250


Entry 5:
Pu2CuPt3 PBE relaxed; spin magnetization = 1.8131 μB per atom; density = 17.078 g/cm3; energy of formation = -75 kJ per mole of atoms; space group = P6_3/mmc (194)
1.0
5.506 0.000 0.000
-2.753 4.769 0.000
0.000 0.000 8.420
Cu Pu Pt
2 4 6
Direct
0.000 0.000 0.000
0.000 0.000 0.500
0.667 0.333 0.434
0.333 0.667 0.566
0.333 0.667 0.934
0.667 0.333 0.066
0.665 0.833 0.250
0.833 0.665 0.750
0.167 0.335 0.250
0.833 0.167 0.750
0.335 0.167 0.750
0.167 0.833 0.250


Entry 6:
PuCuPt PBE relaxed; spin magnetization = 0.0165 μB per atom; density = 13.721 g/cm3; energy of formation = 75 kJ per mole of atoms; space group = F-43m (216)
1.0
2.225 -3.159 -2.135
-0.775 -4.248 0.915
-2.071 -2.551 -2.948
Pu Cu Pt
1 1 1
Direct
0.250 0.250 0.250
0.500 0.500 0.500
0.000 0.000 0.000


Question: spin magnetization of number 4 (Cu7Pt2)?
Answer: 0.0002 μB per atom


Question: Which value of density does entry 1 give?
Answer: 7.704 g/cm3